# KCa2Re (GGA-PBE, optimized geometry)
data_KCa2Re
_chemical_formula_sum 'K4 Ca8 Re4'
_space_group_name_H-M_alt 'F -4 3 m'
_space_group_IT_number 216
_space_group_name_Hall 'F -4 2 3'
_cell_length_a 7.818
_cell_length_b 7.818
_cell_length_c 7.818
_cell_angle_alpha 90.00
_cell_angle_beta 90.00
_cell_angle_gamma 90.00
loop_
_atom_site_label
_atom_site_type_symbol
_atom_site_fract_x
_atom_site_fract_y
_atom_site_fract_z
K1 K 0.000 0.000 0.000
Ca1 Ca 0.000 0.000 0.500
Ca2 Ca 0.250 0.250 0.750
Re1 Re 0.250 0.250 0.250
# - Energy relative to the elements: 1.18 eV per atom
# - Final energy: -3.206 eV/atom
# - E above lowest polymorph: 1.96 eV/f.u.
# - Total magnetic moment: 2.063 μB/f.u.

=====

# RbSbBr2Cl (GGA-PBE, optimized geometry)
data_RbSbBr2Cl
_chemical_formula_sum 'Rb1 Sb1 Br2 Cl1'
_space_group_name_H-M_alt 'P 4/m m m'
_space_group_IT_number 123
_space_group_name_Hall '-P 4 2'
_cell_length_a 6.729
_cell_length_b 6.729
_cell_length_c 4.888
_cell_angle_alpha 90.00
_cell_angle_beta 90.00
_cell_angle_gamma 90.00
loop_
_atom_site_label
_atom_site_type_symbol
_atom_site_fract_x
_atom_site_fract_y
_atom_site_fract_z
Rb1 Rb 0.000 0.000 0.000
Sb1 Sb 0.500 0.500 0.000
Br1 Br 0.000 0.500 0.500
Cl1 Cl 0.500 0.500 0.500
# - Final energy: -2.389 eV/atom
# - Raw formation energy: -0.332 eV per atom
# - E above lowest polymorph: 3.26 eV/f.u.
# - Total magnetic moment: 0.231 μB/f.u.

=====

# Li3Zn2Ag4 (GGA-PBE, optimized geometry)
data_Li3Zn2Ag4
_chemical_formula_sum 'Li6 Zn4 Ag8'
_space_group_name_H-M_alt 'C 1 2/m 1'
_space_group_IT_number 12
_cell_length_a 8.444
_cell_length_b 4.153
_cell_length_c 8.434
_cell_angle_alpha 90.00
_cell_angle_beta 103.33
_cell_angle_gamma 90.00
loop_
_space_group_symop_operation_xyz
'x,y,z'
'-x,-y,-z'
'-x,y,-z'
'x,-y,z'
'x+1/2,y+1/2,z'
'-x+1/2,-y+1/2,-z'
'-x+1/2,y+1/2,-z'
'x+1/2,-y+1/2,z'
loop_
_atom_site_label
_atom_site_type_symbol
_atom_site_fract_x
_atom_site_fract_y
_atom_site_fract_z
Li1 Li 0.000 0.000 0.000
Li2 Li 0.164 0.500 0.555
Zn1 Zn 0.169 0.500 0.222
Ag1 Ag 0.004 0.000 0.332
Ag2 Ag 0.167 0.500 0.888
# - Energy relative to the elements: -0.18 eV per atom
# - Final energy: -2.368 eV/atom
# - Total magnetic moment: 0.000 μB/f.u.